Record 1
Material: BaNaSr2
Method: DFT, GGA-PBE
State: optimized geometry

Structure (POSCAR):
```
BaNaSr2
1.0
5.8946 0.0000 0.0000
0.0000 5.8946 0.0000
0.0000 0.0000 6.1785
Ba Na Sr
1 1 2
direct
0.0000 0.0000 0.0000 Ba
0.5000 0.5000 0.0000 Na
0.0000 0.5000 0.5000 Sr
0.5000 0.0000 0.5000 Sr
```

## Properties
E_form	0.16	eV/f.u.
ΔE to the lowest computed polymorph	0.122	eV/f.u.
calculated volume	215	Å³/f.u.


Record 2
Material: Mg2SiHg
Method: DFT, GGA-PBE
State: optimized geometry

Structure (POSCAR):
```
Mg2SiHg
1.0
8.0368 0.0000 0.0000
0.0000 3.2761 0.0000
-1.4194 0.0000 6.6579
Mg Si Hg
4 2 2
direct
0.2460 0.0000 0.2087 Mg
0.2540 0.5000 0.7913 Mg
0.7460 0.5000 0.2087 Mg
0.7540 0.0000 0.7913 Mg
0.0000 0.5000 0.0000 Si
0.5000 0.0000 0.0000 Si
0.0000 0.0000 0.5000 Hg
0.5000 0.5000 0.5000 Hg
```

## Properties
energy relative to the elements, uncorrected	0.016	eV/atom
calculated volume	88	Å³/f.u.


Record 3
Material: NaIrSeN2
Method: DFT, GGA-PBE
State: optimized geometry

Structure (POSCAR):
```
NaIrSeN2
1.0
3.8291 0.0000 0.0000
0.0000 3.8291 0.0000
0.0000 0.0000 5.5470
Na Ir Se N
1 1 1 2
direct
0.0000 0.0000 0.0000 Na
0.5000 0.5000 0.5000 Ir
0.5000 0.5000 0.0000 Se
0.0000 0.5000 0.5000 N
0.5000 0.0000 0.5000 N
```

## Properties
energy relative to the elements, uncorrected	0.477	eV/atom
ΔE to the lowest computed polymorph	0.000	eV/f.u.
calculated volume	81	Å³/f.u.


Record 4
Material: Sb2AsPb
Method: DFT, GGA-PBE
State: optimized geometry

Structure (POSCAR):
```
Sb2AsPb
1.0
4.2817 0.0000 0.0000
-2.1409 3.7081 0.0000
0.0000 0.0000 21.7548
Sb As Pb
6 3 3
direct
0.0000 0.0000 0.0000 Sb
0.0000 0.0000 0.2558 Sb
0.3333 0.6667 0.6667 Sb
0.3333 0.6667 0.9225 Sb
0.6667 0.3333 0.3333 Sb
0.6667 0.3333 0.5892 Sb
0.0000 0.0000 0.7483 As
0.3333 0.6667 0.4150 As
0.6667 0.3333 0.0816 As
0.0000 0.0000 0.4867 Pb
0.3333 0.6667 0.1534 Pb
0.6667 0.3333 0.8201 Pb
```

## Properties
energy relative to the elements, uncorrected	0.050	eV/atom
ΔE to the lowest computed polymorph	0.103	eV/f.u.
calculated volume	115	Å³/f.u.


Record 5
Material: NdZn4Bi
Method: DFT, GGA-PBE
State: optimized geometry

Structure (POSCAR):
```
NdZn4Bi
1.0
0.0000 3.9770 3.9770
3.9770 0.0000 3.9770
3.9770 3.9770 0.0000
Nd Zn Bi
1 4 1
direct
0.0000 0.0000 0.0000 Nd
0.1241 0.6253 0.6253 Zn
0.6253 0.1241 0.6253 Zn
0.6253 0.6253 0.1241 Zn
0.6253 0.6253 0.6253 Zn
0.2500 0.2500 0.2500 Bi
```

## Properties
E_form	-0.78	eV/f.u.
calculated volume	126	Å³/f.u.


Record 6
Material: In3ReRu
Method: DFT, GGA-PBE
State: optimized geometry

Structure (POSCAR):
```
In3ReRu
1.0
5.1399 0.0000 0.0000
0.0000 5.1399 0.0000
0.0000 0.0000 5.1399
In Re Ru
3 1 1
direct
0.0000 0.0000 0.5000 In
0.0000 0.5000 0.0000 In
0.5000 0.0000 0.0000 In
0.0000 0.0000 0.0000 Re
0.5000 0.5000 0.5000 Ru
```

## Properties
E_form	6.42	eV/f.u.
ΔE to the lowest computed polymorph	0.289	eV/f.u.
calculated volume	136	Å³/f.u.


Record 7
Material: SrCaRh2
Method: DFT, GGA-PBE
State: optimized geometry

Structure (POSCAR):
```
SrCaRh2
1.0
4.2074 0.0000 0.0000
0.0000 4.2074 0.0000
0.0000 0.0000 9.8396
Sr Ca Rh
2 2 4
direct
0.0000 0.0000 0.0000 Sr
0.5000 0.5000 0.5000 Sr
0.0000 0.5000 0.7500 Ca
0.5000 0.0000 0.2500 Ca
0.0000 0.0000 0.5000 Rh
0.0000 0.5000 0.2500 Rh
0.5000 0.0000 0.7500 Rh
0.5000 0.5000 0.0000 Rh
```

## Properties
E_form	0.06	eV/f.u.
calculated volume	87	Å³/f.u.


Record 8
Material: Th2HgOs
Method: DFT, GGA-PBE
State: optimized geometry

Structure (POSCAR):
```
Th2HgOs
1.0
4.2051 0.0000 0.0000
-2.1025 3.6417 0.0000
0.0000 0.0000 22.9467
Th Hg Os
6 3 3
direct
0.0000 0.0000 0.0000 Th
0.0000 0.0000 0.2042 Th
0.3333 0.6667 0.6667 Th
0.3333 0.6667 0.8708 Th
0.6667 0.3333 0.3333 Th
0.6667 0.3333 0.5375 Th
0.0000 0.0000 0.7694 Hg
0.3333 0.6667 0.4360 Hg
0.6667 0.3333 0.1027 Hg
0.0000 0.0000 0.6030 Os
0.3333 0.6667 0.2697 Os
0.6667 0.3333 0.9364 Os
```

## Properties
E_form	-1.30	eV/f.u.
ΔE to the lowest computed polymorph	0.053	eV/f.u.
calculated volume	117	Å³/f.u.


Record 9
Material: CuTc2Ru2
Method: DFT, GGA-PBE
State: optimized geometry

Structure (POSCAR):
```
CuTc2Ru2
1.0
7.4619 0.0000 0.0000
0.0000 7.4619 0.0000
0.0000 0.0000 2.7281
Cu Tc Ru
2 4 4
direct
0.0000 0.0000 0.0000 Cu
0.5000 0.5000 0.0000 Cu
0.1230 0.3770 0.0000 Tc
0.3770 0.8770 0.0000 Tc
0.6230 0.1230 0.0000 Tc
0.8770 0.6230 0.0000 Tc
0.1680 0.6680 0.5000 Ru
0.3320 0.1680 0.5000 Ru
0.6680 0.8320 0.5000 Ru
0.8320 0.3320 0.5000 Ru
```

## Properties
E_form	1.60	eV/f.u.
ΔE to the lowest computed polymorph	0.116	eV/f.u.
calculated volume	76	Å³/f.u.


Record 10
Material: Tb3NpAg3S8
Method: DFT, GGA-PBE
State: optimized geometry

Structure (POSCAR):
```
Tb3NpAg3S8
1.0
6.5193 -4.0455 0.0000
6.5193 4.0455 0.0000
-4.0390 0.0000 6.5484
Tb Np Ag S
3 1 3 8
direct
0.0000 0.0000 0.0000 Tb
0.0000 0.5000 0.5000 Tb
0.5000 0.0000 0.5000 Tb
0.5000 0.5000 0.0000 Np
0.0000 0.5000 0.0000 Ag
0.5000 0.0000 0.0000 Ag
0.5000 0.5000 0.5000 Ag
0.2481 0.2481 0.2532 S
0.2514 0.7432 0.7581 S
0.2569 0.2569 0.7502 S
0.2568 0.7486 0.2419 S
0.7432 0.2514 0.7581 S
0.7431 0.7431 0.2498 S
0.7486 0.2568 0.2419 S
0.7519 0.7519 0.7468 S
```

## Properties
energy relative to the elements, uncorrected	-1.270	eV/atom
calculated volume	345	Å³/f.u.


Record 11
Material: MgBi2Rh
Method: DFT, GGA-PBE
State: optimized geometry

Structure (POSCAR):
```
MgBi2Rh
1.0
3.4098 0.0000 0.0000
0.0000 3.4098 0.0000
0.0000 0.0000 8.0891
Mg Bi Rh
1 2 1
direct
0.0000 0.0000 0.0000 Mg
0.5000 0.5000 0.2871 Bi
0.5000 0.5000 0.7129 Bi
0.0000 0.0000 0.5000 Rh
```

## Properties
E_form	-0.36	eV/f.u.
calculated volume	94	Å³/f.u.


Record 12
Material: La3Tb2Pr
Method: DFT, GGA-PBE
State: optimized geometry

Structure (POSCAR):
```
La3Tb2Pr
1.0
5.2059 -3.6576 0.0000
5.2059 3.6576 0.0000
-5.2037 0.0000 11.0624
La Tb Pr
6 4 2
direct
0.0410 0.2918 0.5830 La
0.1252 0.8748 0.7500 La
0.2918 0.0410 0.0830 La
0.7082 0.9590 0.9170 La
0.8748 0.1252 0.2500 La
0.9590 0.7082 0.4170 La
0.2091 0.4589 0.9181 Tb
0.4589 0.2091 0.4181 Tb
0.5411 0.7909 0.5819 Tb
0.7909 0.5411 0.0819 Tb
0.3754 0.6246 0.2500 Pr
0.6246 0.3754 0.7500 Pr
```

## Properties
E_form	0.11	eV/f.u.
ΔE to the lowest computed polymorph	0.000	eV/f.u.
calculated volume	211	Å³/f.u.


Record 13
Material: Sc2Ag2Pd
Method: DFT, GGA-PBE
State: optimized geometry

Structure (POSCAR):
```
Sc2Ag2Pd
1.0
7.4057 0.0000 0.0000
0.0000 7.4057 0.0000
0.0000 0.0000 3.5828
Sc Ag Pd
4 4 2
direct
0.1738 0.3262 0.0000 Sc
0.3262 0.8262 0.0000 Sc
0.6738 0.1738 0.0000 Sc
0.8262 0.6738 0.0000 Sc
0.1301 0.6301 0.5000 Ag
0.3699 0.1301 0.5000 Ag
0.6301 0.8699 0.5000 Ag
0.8699 0.3699 0.5000 Ag
0.0000 0.0000 0.5000 Pd
0.5000 0.5000 0.5000 Pd
```

## Properties
E_form	-1.38	eV/f.u.
ΔE to the lowest computed polymorph	0.522	eV/f.u.
calculated volume	98	Å³/f.u.


Record 14
Material: MnBeAg2
Method: DFT, GGA-PBE
State: optimized geometry

Structure (POSCAR):
```
MnBeAg2
1.0
2.8487 0.0000 0.0000
-1.4243 2.4670 0.0000
0.0000 0.0000 25.6720
Mn Be Ag
3 3 6
direct
0.0000 0.0000 0.0000 Mn
0.3333 0.6667 0.6667 Mn
0.6667 0.3333 0.3333 Mn
0.0000 0.0000 0.5000 Be
0.3333 0.6667 0.1667 Be
0.6667 0.3333 0.8333 Be
0.0000 0.0000 0.2420 Ag
0.0000 0.0000 0.7580 Ag
0.3333 0.6667 0.4247 Ag
0.3333 0.6667 0.9086 Ag
0.6667 0.3333 0.0914 Ag
0.6667 0.3333 0.5753 Ag
```

## Properties
E_form	1.43	eV/f.u.
calculated volume	60	Å³/f.u.


Record 15
Material: Tb4Pm10Nd
Method: DFT, GGA-PBE
State: optimized geometry

Structure (POSCAR):
```
Tb4Pm10Nd
1.0
-4.9896 4.9896 5.4382
4.9896 -4.9896 5.4382
4.9896 4.9896 -5.4382
Tb Pm Nd
4 10 1
direct
0.0576 0.2797 0.3372 Tb
0.2797 0.9424 0.2221 Tb
0.7203 0.0576 0.7779 Tb
0.9424 0.7203 0.6628 Tb
0.1054 0.4486 0.8943 Pm
0.2111 0.1054 0.6568 Pm
0.2500 0.7500 0.5000 Pm
0.4456 0.7889 0.8943 Pm
0.4486 0.5544 0.3432 Pm
0.5514 0.4456 0.6568 Pm
0.5544 0.2111 0.1057 Pm
0.7500 0.2500 0.5000 Pm
0.7889 0.8946 0.3432 Pm
0.8946 0.5514 0.1057 Pm
0.5000 0.5000 0.0000 Nd
```

## Properties
E_form	6.47	eV/f.u.
calculated volume	542	Å³/f.u.


Record 16
Material: NdCuRe
Method: DFT, GGA-PBE
State: optimized geometry

Structure (POSCAR):
```
NdCuRe
1.0
11.1307 0.0000 0.0000
0.0000 3.2830 0.0000
-0.5754 0.0000 6.6829
Nd Cu Re
4 4 4
direct
0.0573 0.0000 0.2631 Nd
0.4427 0.5000 0.7369 Nd
0.5573 0.5000 0.2631 Nd
0.9427 0.0000 0.7369 Nd
0.2152 0.0000 0.6447 Cu
0.2848 0.5000 0.3553 Cu
0.7152 0.5000 0.6447 Cu
0.7848 0.0000 0.3553 Cu
0.1698 0.5000 0.9475 Re
0.3302 0.0000 0.0525 Re
0.6698 0.0000 0.9475 Re
0.8302 0.5000 0.0525 Re
```

## Properties
E_form	0.90	eV/f.u.
calculated volume	61	Å³/f.u.


Record 17
Material: Th2Ga3Cu5
Method: DFT, GGA-PBE
State: optimized geometry

Structure (POSCAR):
```
Th2Ga3Cu5
1.0
5.7043 -6.0117 0.0000
5.7043 6.0117 0.0000
-3.2102 0.0000 5.1771
Th Ga Cu
4 6 10
direct
0.1163 0.3699 0.2430 Th
0.3699 0.1163 0.7430 Th
0.6301 0.8837 0.2570 Th
0.8837 0.6301 0.7570 Th
0.0018 0.7474 0.3721 Ga
0.2526 0.9982 0.1279 Ga
0.4994 0.5006 0.2500 Ga
0.5006 0.4994 0.7500 Ga
0.7474 0.0018 0.8721 Ga
0.9982 0.2526 0.6279 Ga
0.0021 0.9979 0.7500 Cu
0.2482 0.4926 0.8693 Cu
0.2532 0.7468 0.7500 Cu
0.2568 0.7432 0.2500 Cu
0.4926 0.2482 0.3693 Cu
0.5074 0.7518 0.6307 Cu
0.7432 0.2568 0.7500 Cu
0.7468 0.2532 0.2500 Cu
0.7518 0.5074 0.1307 Cu
0.9979 0.0021 0.2500 Cu
```

## Properties
E_form	-3.37	eV/f.u.
ΔE to the lowest computed polymorph	0.000	eV/f.u.
calculated volume	178	Å³/f.u.


Record 18
Material: La2HgIrPb
Method: DFT, GGA-PBE
State: optimized geometry

Structure (POSCAR):
```
La2HgIrPb
1.0
8.0340 0.0000 0.0000
0.0000 4.5390 0.0000
-3.0003 0.0000 7.7805
La Hg Ir Pb
4 2 2 2
direct
0.0335 0.2500 0.2292 La
0.3290 0.7500 0.6113 La
0.6710 0.2500 0.3887 La
0.9665 0.7500 0.7708 La
0.3233 0.7500 0.2098 Hg
0.6767 0.2500 0.7902 Hg
0.0939 0.2500 0.6137 Ir
0.9061 0.7500 0.3863 Ir
0.3336 0.2500 0.9568 Pb
0.6664 0.7500 0.0432 Pb
```

## Properties
E_form	-2.90	eV/f.u.
ΔE to the lowest computed polymorph	0.000	eV/f.u.
calculated volume	142	Å³/f.u.


Record 19
Material: Co2IrRuPt
Method: DFT, GGA-PBE
State: optimized geometry

Structure (POSCAR):
```
Co2IrRuPt
1.0
4.4837 0.0000 0.0000
0.0000 4.4837 0.0000
0.0000 0.0000 4.7245
Co Ir Ru Pt
2 1 1 1
direct
0.0000 0.5000 0.0000 Co
0.5000 0.0000 0.0000 Co
0.0000 0.0000 0.5000 Ir
0.5000 0.5000 0.5000 Ru
0.5000 0.5000 0.0000 Pt
```

## Properties
E_form	9.29	eV/f.u.
calculated volume	95	Å³/f.u.


Record 20
Material: La3CoTeCl
Method: DFT, GGA-PBE
State: optimized geometry

Structure (POSCAR):
```
La3CoTeCl
1.0
7.3684 0.0000 0.0000
0.0000 4.0822 0.0000
-2.9873 0.0000 11.6361
La Co Te Cl
6 2 2 2
direct
0.0033 0.2500 0.3674 La
0.2707 0.7500 0.0017 La
0.4909 0.2500 0.3676 La
0.5091 0.7500 0.6324 La
0.7293 0.2500 0.9983 La
0.9967 0.7500 0.6326 La
0.2439 0.7500 0.4579 Co
0.7561 0.2500 0.5421 Co
0.3302 0.2500 0.8067 Te
0.6698 0.7500 0.1933 Te
0.1297 0.2500 0.1394 Cl
0.8703 0.7500 0.8606 Cl
```

## Properties
energy relative to the elements, uncorrected	-1.001	eV/atom
calculated volume	175	Å³/f.u.


Record 21
Material: InBiMoBr2
Method: DFT, GGA-PBE
State: optimized geometry

Structure (POSCAR):
```
InBiMoBr2
1.0
5.7158 0.0000 0.0000
0.0000 5.7158 0.0000
0.0000 0.0000 6.3074
In Bi Mo Br
1 1 1 2
direct
0.0000 0.0000 0.0000 In
0.0000 0.0000 0.5000 Bi
0.5000 0.5000 0.0000 Mo
0.0000 0.5000 0.5000 Br
0.5000 0.0000 0.5000 Br
```

## Properties
energy relative to the elements, uncorrected	0.896	eV/atom
calculated volume	206	Å³/f.u.